# 1
A relaxed structure of Mn2PBr. Source: the Alexandria database, functional PBE.

Formation energy without anion corrections = -0.70 eV/f.u.
Energy above the lowest structure with this stoichiometry = 0 kJ/mol of formula units
Space group = C2/m (12)

Cell: 3.720 3.720 6.485 Å, 110.54 110.54 59.17°
Positions (direct):
Mn 0.227 0.227 0.147
Mn 0.773 0.773 0.853
P 0.500 0.500 0.000
Br 0.000 0.000 0.500

---

# 2
A relaxed structure of Al2CuSb. Source: the Alexandria database, functional PBE.

Formation energy without anion corrections = 0.70 eV/f.u.
Space group = R3m (160)

Cell: 8.132 8.132 8.132 Å, 23.61 23.61 23.61°
Positions (direct):
Al 0.000 0.000 0.000
Al 0.248 0.248 0.248
Cu 0.511 0.511 0.511
Sb 0.759 0.759 0.759

---

# 3
A relaxed structure of Ba2TcAu. Source: the Alexandria database, functional PBE.

Energy above the lowest structure with this stoichiometry = 115 kJ/mol of formula units
Space group = I-42d (122)
Energy relative to the elements = 0.46 eV per atom

Cell: 8.514 8.514 8.514 Å, 95.29 95.29 144.64°
Positions (direct):
Ba 0.375 0.163 0.288
Ba 0.837 0.125 0.212
Ba 0.875 0.087 0.712
Ba 0.913 0.625 0.788
Tc 0.000 0.000 0.000
Tc 0.750 0.250 0.500
Au 0.250 0.750 0.500
Au 0.500 0.500 0.000